Here is a relaxed Nd2GdMg4In2 crystal from OQMD via LeMat-Bulk. Energies are from GGA-PBE.

Output
Size of the total moment, μB per atom: 0.00
Total DFT energy (no corrections), eV/atom: -3.177
Space group: Amm2 (38)

Unit cell a=4.754 b=7.672 c=7.672 alpha=119.44 beta=90.00 gamma=90.00
Atoms (fractional coordinates):
Gd (0.000, 0.569, 0.569)
In (0.500, 0.667, 0.337)
In (0.500, 0.337, 0.667)
Mg (0.500, 0.242, 0.242)
Mg (0.500, 0.000, 0.756)
Mg (0.000, 0.995, 0.995)
Mg (0.500, 0.756, 0.000)
Nd (0.000, 0.431, 0.002)
Nd (0.000, 0.002, 0.431)

=====

Here is a relaxed NdGdMg2In2 crystal from OQMD via LeMat-Bulk. Energies are from GGA-PBE.

Output
Size of the total moment, μB per atom: 0.00
Total DFT energy (no corrections), eV/atom: -3.389
Space group: P3m1 (156)

Unit cell a=4.940 b=4.940 c=7.523 alpha=90.00 beta=90.00 gamma=120.00
Atoms (fractional coordinates):
Gd (0.000, 0.000, 0.010)
In (0.333, 0.667, 0.284)
In (0.667, 0.333, 0.794)
Mg (0.667, 0.333, 0.230)
Mg (0.333, 0.667, 0.741)
Nd (0.000, 0.000, 0.511)

=====

Here is a relaxed NdGd2Mg4In2 crystal from OQMD via LeMat-Bulk. Energies are from GGA-PBE.

Output
Size of the total moment, μB per atom: 0.00
Total DFT energy (no corrections), eV/atom: -3.160
Space group: Amm2 (38)

Unit cell a=4.721 b=7.681 c=7.681 alpha=120.55 beta=90.00 gamma=90.00
Atoms (fractional coordinates):
Gd (0.000, 0.569, 0.002)
Gd (0.000, 0.002, 0.569)
In (0.500, 0.671, 0.334)
In (0.500, 0.334, 0.671)
Mg (0.500, 0.000, 0.243)
Mg (0.500, 0.756, 0.756)
Mg (0.000, 0.995, 0.995)
Mg (0.500, 0.243, 0.000)
Nd (0.000, 0.431, 0.431)

=====

Here is a relaxed GdMgInNi crystal from OQMD via LeMat-Bulk. Energies are from GGA-PBE.

Output
Excess energy over the best structure of this formula in the dataset, meV/atom: 18
Size of the total moment, μB per atom: 0.00
Total DFT energy (no corrections), eV/atom: -4.010
Space group: Amm2 (38)

Unit cell a=7.869 b=5.375 c=5.375 alpha=47.01 beta=90.00 gamma=90.00
Atoms (fractional coordinates):
Gd (0.000, 0.437, 0.437)
Gd (0.500, 0.560, 0.560)
In (0.299, 0.852, 0.852)
In (0.701, 0.852, 0.852)
Mg (0.196, 0.151, 0.151)
Mg (0.804, 0.151, 0.151)
Ni (0.500, 0.276, 0.276)
Ni (0.000, 0.720, 0.720)

=====

Here is a relaxed GdMg4InNi2 crystal from OQMD via LeMat-Bulk. Energies are from GGA-PBE.

Output
Size of the total moment, μB per atom: 0.00
Total DFT energy (no corrections), eV/atom: -2.516
Space group: Amm2 (38)

Unit cell a=6.239 b=11.854 c=11.854 alpha=24.05 beta=90.00 gamma=90.00
Atoms (fractional coordinates):
Gd (0.500, 0.315, 0.315)
In (0.500, 0.678, 0.678)
Mg (0.233, 0.130, 0.130)
Mg (0.767, 0.130, 0.130)
Mg (0.241, 0.876, 0.876)
Mg (0.759, 0.876, 0.876)
Ni (0.500, 0.206, 0.206)
Ni (0.500, 0.789, 0.789)

=====

Here is a relaxed GdMgInNi crystal from OQMD via LeMat-Bulk. Energies are from GGA-PBE.

Output
Excess energy over the best structure of this formula in the dataset, meV/atom: 55
Size of the total moment, μB per atom: 0.00
Total DFT energy (no corrections), eV/atom: -3.973
Space group: C2/m (12)

Unit cell a=5.459 b=5.459 c=7.666 alpha=90.75 beta=90.75 gamma=46.83
Atoms (fractional coordinates):
Gd (0.562, 0.562, 0.249)
Gd (0.438, 0.438, 0.751)
In (0.855, 0.855, 0.444)
In (0.145, 0.145, 0.556)
Mg (0.847, 0.847, 0.053)
Mg (0.153, 0.153, 0.947)
Ni (0.280, 0.280, 0.254)
Ni (0.720, 0.720, 0.746)

=====

Here is a relaxed GdMgIn4Ni2 crystal from OQMD via LeMat-Bulk. Energies are from GGA-PBE.

Output
Size of the total moment, μB per atom: 0.00
Total DFT energy (no corrections), eV/atom: -3.841
Space group: Amm2 (38)

Unit cell a=7.500 b=5.510 c=5.510 alpha=45.70 beta=90.00 gamma=90.00
Atoms (fractional coordinates):
Gd (0.000, 0.436, 0.436)
In (0.207, 0.144, 0.144)
In (0.793, 0.144, 0.144)
In (0.305, 0.854, 0.854)
In (0.695, 0.854, 0.854)
Mg (0.500, 0.561, 0.561)
Ni (0.500, 0.289, 0.289)
Ni (0.000, 0.719, 0.719)

=====

Here is a relaxed GdMgInNi crystal from OQMD via LeMat-Bulk. Energies are from GGA-PBE.

Output
Excess energy over the best structure of this formula in the dataset, meV/atom: 0
Size of the total moment, μB per atom: 0.00
Total DFT energy (no corrections), eV/atom: -4.028
Space group: Cmc2_1 (36)

Unit cell a=5.366 b=5.366 c=7.741 alpha=90.00 beta=90.00 gamma=132.33
Atoms (fractional coordinates):
Gd (0.560, 0.440, 0.249)
Gd (0.440, 0.560, 0.749)
In (0.854, 0.146, 0.447)
In (0.146, 0.854, 0.947)
Mg (0.847, 0.153, 0.055)
Mg (0.153, 0.847, 0.555)
Ni (0.277, 0.723, 0.249)
Ni (0.723, 0.277, 0.749)

=====

Here is a relaxed GdMg4InPd2 crystal from OQMD via LeMat-Bulk. Energies are from GGA-PBE.

Output
Size of the total moment, μB per atom: 0.00
Total DFT energy (no corrections), eV/atom: -2.855
Space group: Amm2 (38)

Unit cell a=6.044 b=8.544 c=8.544 alpha=35.92 beta=90.00 gamma=90.00
Atoms (fractional coordinates):
Gd (0.000, 0.397, 0.397)
In (0.000, 0.612, 0.612)
Mg (0.254, 0.203, 0.203)
Mg (0.746, 0.203, 0.203)
Mg (0.256, 0.793, 0.793)
Mg (0.744, 0.793, 0.793)
Pd (0.000, 0.080, 0.080)
Pd (0.000, 0.920, 0.920)

=====

Here is a relaxed Gd3Mg3InPd2 crystal from OQMD via LeMat-Bulk. Energies are from GGA-PBE.

Output
Size of the total moment, μB per atom: 0.00
Total DFT energy (no corrections), eV/atom: -4.047
Space group: P-62m (189)

Unit cell a=7.430 b=7.430 c=4.389 alpha=90.00 beta=90.00 gamma=120.00
Atoms (fractional coordinates):
Gd (0.573, 0.000, 0.000)
Gd (0.427, 0.427, 0.000)
Gd (0.000, 0.573, 0.000)
In (0.000, 0.000, 0.000)
Mg (0.254, 0.000, 0.500)
Mg (0.000, 0.254, 0.500)
Mg (0.746, 0.746, 0.500)
Pd (0.667, 0.333, 0.500)
Pd (0.333, 0.667, 0.500)

=====

Here is a relaxed Pr2GdMg4In2 crystal from OQMD via LeMat-Bulk. Energies are from GGA-PBE.

Output
Size of the total moment, μB per atom: 0.00
Total DFT energy (no corrections), eV/atom: -3.179
Space group: Amm2 (38)

Unit cell a=4.783 b=7.685 c=7.685 alpha=119.30 beta=90.00 gamma=90.00
Atoms (fractional coordinates):
Gd (0.000, 0.570, 0.570)
In (0.500, 0.667, 0.339)
In (0.500, 0.339, 0.667)
Mg (0.500, 0.242, 0.242)
Mg (0.500, 0.000, 0.756)
Mg (0.000, 0.994, 0.994)
Mg (0.500, 0.756, 0.000)
Pr (0.000, 0.430, 0.002)
Pr (0.000, 0.002, 0.430)

=====

Here is a relaxed PrGd2Mg4In2 crystal from OQMD via LeMat-Bulk. Energies are from GGA-PBE.

Output
Size of the total moment, μB per atom: 0.00
Total DFT energy (no corrections), eV/atom: -3.161
Space group: Amm2 (38)

Unit cell a=4.736 b=7.695 c=7.695 alpha=120.70 beta=90.00 gamma=90.00
Atoms (fractional coordinates):
Gd (0.000, 0.570, 0.002)
Gd (0.000, 0.002, 0.570)
In (0.500, 0.672, 0.334)
In (0.500, 0.334, 0.672)
Mg (0.500, 0.000, 0.243)
Mg (0.500, 0.756, 0.756)
Mg (0.000, 0.994, 0.994)
Mg (0.500, 0.243, 0.000)
Pr (0.000, 0.431, 0.431)

=====

no.,V (Å³/atom)
1,27.07
2,26.49
3,26.65
4,20.79
5,44.65
6,20.82
7,20.37
8,20.60
9,32.35
10,23.31
11,27.37
12,26.79